No. 1
A relaxed LiGaSn crystal. Source: Alexandria via LeMat-Bulk, functional PBE.

Results
- energy of formation from the pure elements (kJ/mol of atoms) = -15.2

Cell lengths 7.862, 3.069, 3.069 Å; angles 90.09, 112.83, 67.17 degrees
Element x y z (fractional)
1 Ga 0.753 0.426 0.574
2 Sn 0.335 0.852 0.148
3 Li 0.024 0.659 0.341

***

No. 2
A relaxed H6RuPb2 crystal. Source: Alexandria via LeMat-Bulk, functional PBE.

Cell lengths 5.283, 5.292, 7.478 Å; angles 90.00, 90.12, 90.00 degrees
Element x y z (fractional)
1 H 0.499 0.500 0.769
2 H 0.268 0.269 0.999
3 H 0.232 0.231 0.500
4 H 0.268 0.731 0.000
5 Pb 0.000 0.500 0.250
6 H 0.001 0.000 0.731
7 Pb 0.500 0.000 0.750
8 Pb 0.500 0.000 0.250
9 H 0.768 0.231 0.499
10 Ru 0.000 0.000 0.500
11 Pb 0.000 0.500 0.750
12 H 0.232 0.769 0.501
13 H 0.999 0.000 0.269
14 H 0.732 0.269 0.000
15 H 0.501 0.500 0.231
16 H 0.732 0.731 0.001
17 H 0.768 0.769 0.500
18 Ru 0.500 0.500 0.000

***

No. 3
A relaxed ThPa8 crystal. Source: Alexandria via LeMat-Bulk, functional PBE.

Results
- energy of formation from the pure elements (kJ/mol of atoms) = 3.2

Cell lengths 4.683, 7.418, 7.418 Å; angles 84.28, 71.60, 71.60 degrees
Element x y z (fractional)
1 Pa 0.665 0.335 0.335
2 Pa 0.331 0.000 0.337
3 Pa 0.669 0.000 0.663
4 Pa 0.331 0.337 0.000
5 Pa 0.000 0.335 0.665
6 Th 0.000 0.000 0.000
7 Pa 0.000 0.665 0.335
8 Pa 0.669 0.663 0.000
9 Pa 0.335 0.665 0.665

***

No. 4
A relaxed SnRhI2N crystal. Source: Alexandria via LeMat-Bulk, functional PBE.

Results
- excess energy over the best structure of this formula in the dataset (meV/atom) = 0
- ΔE_f (raw) (eV per atom) = 0.319

Cell lengths 5.773, 5.773, 3.744 Å; angles 90.00, 90.00, 90.00 degrees
Element x y z (fractional)
1 I 0.500 0.000 0.000
2 N 0.000 0.000 0.500
3 Rh 0.000 0.000 0.000
4 Sn 0.500 0.500 0.500
5 I 0.000 0.500 0.000

***

no.,VASP energy (eV/cell)
1,-9.4
2,-71.9
3,-83.1
4,-21.2